--- w ---
Crystalline TiZn4Ni at its relaxed geometry, computed with GGA-PBE.

Results
Crystal system: monoclinic
M_tot, μB per atom: 0.00
DOS(E_F), states/eV per cell: 6.5
Symmetry: No. 12

a = 6.678 Å, b = 5.305 Å, c = 7.768 Å
α = 109.96°, β = 134.96°, γ = 90.00°
Element x y z (fractional)
Ti: 0.979 0.164 0.327
Ti: 0.021 0.836 0.673
Zn: 0.538 0.258 0.517
Zn: 0.527 0.352 0.192
Zn: 0.000 0.247 0.000
Zn: 0.473 0.160 0.808
Zn: 0.462 0.742 0.483
Zn: 0.473 0.648 0.808
Zn: 0.000 0.753 0.000
Zn: 0.527 0.840 0.192
Ni: 0.946 0.640 0.280
Ni: 0.054 0.360 0.720

--- x ---
Crystalline TiZn4Ni at its relaxed geometry, computed with GGA-PBE.

Results
Crystal system: cubic
M_tot, μB per atom: 0.32
DOS(E_F), states/eV per cell: 3.8
Symmetry: No. 216

a = 4.956 Å, b = 4.956 Å, c = 4.956 Å
α = 60.00°, β = 60.00°, γ = 60.00°
Element x y z (fractional)
Ni: 0.000 0.000 0.000
Zn: 0.625 0.625 0.125
Zn: 0.625 0.125 0.625
Zn: 0.625 0.625 0.625
Zn: 0.125 0.625 0.625
Ti: 0.250 0.250 0.250

Which of them is most stable, and which least? Most stable: w; least stable: x.

--- w ---
Crystalline TiZn2Ni3 at its relaxed geometry, computed with GGA-PBE.

Results
Crystal system: tetragonal
M_tot, μB per atom: 0.00
DOS(E_F), states/eV per cell: 4.3
Symmetry: No. 123

a = 2.769 Å, b = 2.769 Å, c = 9.852 Å
α = 90.00°, β = 90.00°, γ = 90.00°
Element x y z (fractional)
Ti: 0.500 0.500 0.500
Zn: 0.500 0.500 0.837
Zn: 0.500 0.500 0.163
Ni: 0.000 0.000 0.000
Ni: 0.000 0.000 0.673
Ni: 0.000 0.000 0.327

--- x ---
Crystalline TiZn2Ni3 at its relaxed geometry, computed with GGA-PBE.

Results
Crystal system: trigonal
M_tot, μB per atom: 0.00
DOS(E_F), states/eV per cell: 9.6
Symmetry: No. 164

a = 4.141 Å, b = 4.141 Å, c = 10.116 Å
α = 90.00°, β = 90.00°, γ = 120.00°
Element x y z (fractional)
Ti: 0.333 0.667 0.669
Ti: 0.667 0.333 0.331
Zn: 0.000 0.000 0.500
Zn: 0.333 0.667 0.166
Zn: 0.667 0.333 0.834
Zn: 0.000 0.000 0.000
Ni: 0.333 0.667 0.416
Ni: 0.667 0.333 0.085
Ni: 0.000 0.000 0.754
Ni: 0.000 0.000 0.246
Ni: 0.333 0.667 0.915
Ni: 0.667 0.333 0.584

Which of them is most stable, and which least? Most stable: x; least stable: w.

--- w ---
Crystalline ZrTi2Ni at its relaxed geometry, computed with GGA-PBE.

Results
Crystal system: cubic
M_tot, μB per atom: 0.00
DOS(E_F), states/eV per cell: 7.5
Symmetry: No. 225

a = 4.515 Å, b = 4.515 Å, c = 4.515 Å
α = 60.00°, β = 60.00°, γ = 60.00°
Element x y z (fractional)
Ni: 0.000 0.000 0.000
Zr: 0.500 0.500 0.500
Ti: 0.250 0.250 0.250
Ti: 0.750 0.750 0.750

--- x ---
Crystalline ZrTi2Ni at its relaxed geometry, computed with GGA-PBE.

Results
Crystal system: orthorhombic
M_tot, μB per atom: 0.00
DOS(E_F), states/eV per cell: 7.2
Symmetry: No. 63

a = 4.154 Å, b = 5.480 Å, c = 6.507 Å
α = 90.00°, β = 90.00°, γ = 112.27°
Element x y z (fractional)
Zr: 0.945 0.890 0.250
Zr: 0.055 0.110 0.750
Ti: 0.359 0.718 0.539
Ti: 0.641 0.282 0.461
Ti: 0.359 0.718 0.961
Ti: 0.641 0.282 0.039
Ni: 0.786 0.572 0.750
Ni: 0.214 0.428 0.250

--- y ---
Crystalline ZrTi2Ni at its relaxed geometry, computed with GGA-PBE.

Results
Crystal system: tetragonal
M_tot, μB per atom: 0.00
DOS(E_F), states/eV per cell: 5.6
Symmetry: No. 122

a = 7.200 Å, b = 7.200 Å, c = 5.779 Å
α = 51.47°, β = 51.47°, γ = 90.00°
Element x y z (fractional)
Ni: 0.500 0.500 0.000
Ni: 0.250 0.750 0.500
Zr: 0.000 0.000 0.000
Zr: 0.750 0.250 0.500
Ti: 0.571 0.125 0.250
Ti: 0.179 0.625 0.250
Ti: 0.375 0.429 0.750
Ti: 0.875 0.821 0.750

--- z ---
Crystalline ZrTi2Ni at its relaxed geometry, computed with GGA-PBE.

Results
Crystal system: orthorhombic
M_tot, μB per atom: 0.00
DOS(E_F), states/eV per cell: 18.4
Symmetry: No. 62

a = 5.440 Å, b = 7.707 Å, c = 6.576 Å
α = 90.00°, β = 90.00°, γ = 90.00°
Element x y z (fractional)
Zr: 0.600 0.527 0.250
Zr: 0.900 0.027 0.250
Zr: 0.400 0.473 0.750
Zr: 0.100 0.973 0.750
Ti: 0.111 0.680 0.041
Ti: 0.389 0.180 0.459
Ti: 0.889 0.320 0.541
Ti: 0.611 0.820 0.959
Ti: 0.889 0.320 0.959
Ti: 0.611 0.820 0.541
Ti: 0.111 0.680 0.459
Ti: 0.389 0.180 0.041
Ni: 0.133 0.400 0.250
Ni: 0.367 0.900 0.250
Ni: 0.867 0.600 0.750
Ni: 0.633 0.100 0.750

Which of them is most stable, and which least? Most stable: x; least stable: y.

--- w ---
Crystalline ZrTi2Ni at its relaxed geometry, computed with GGA-PBE.

Results
Crystal system: trigonal
M_tot, μB per atom: 0.00
DOS(E_F), states/eV per cell: 6.1
Symmetry: No. 160

a = 3.031 Å, b = 3.031 Å, c = 8.914 Å
α = 80.21°, β = 80.21°, γ = 60.00°
Element x y z (fractional)
Zr: 0.500 0.500 0.501
Ti: 0.072 0.072 0.785
Ti: 0.262 0.262 0.214
Ni: 0.667 0.667 0.000

--- x ---
Crystalline ZrTi2Ni at its relaxed geometry, computed with GGA-PBE.

Results
Crystal system: tetragonal
M_tot, μB per atom: 0.00
DOS(E_F), states/eV per cell: 3.8
Symmetry: No. 123

a = 3.079 Å, b = 3.079 Å, c = 7.075 Å
α = 90.00°, β = 90.00°, γ = 90.00°
Element x y z (fractional)
Ni: 0.500 0.500 0.000
Zr: 0.500 0.500 0.500
Ti: 0.000 0.000 0.792
Ti: 0.000 0.000 0.208

Which of them is most stable, and which least? Most stable: x; least stable: w.

--- w ---
Crystalline ZrTi2Ni9 at its relaxed geometry, computed with GGA-PBE.

Results
Crystal system: tetragonal
M_tot, μB per atom: 0.00
DOS(E_F), states/eV per cell: 3.2
Symmetry: No. 123

a = 3.667 Å, b = 3.667 Å, c = 10.941 Å
α = 90.00°, β = 90.00°, γ = 90.00°
Element x y z (fractional)
Zr: 0.000 0.000 0.000
Ti: 0.000 0.000 0.338
Ti: 0.000 0.000 0.662
Ni: 0.500 0.500 0.000
Ni: 0.500 0.500 0.338
Ni: 0.500 0.500 0.662
Ni: 0.500 0.000 0.176
Ni: 0.500 0.000 0.500
Ni: 0.500 0.000 0.824
Ni: 0.000 0.500 0.176
Ni: 0.000 0.500 0.500
Ni: 0.000 0.500 0.824

--- x ---
Crystalline ZrTi2Ni9 at its relaxed geometry, computed with GGA-PBE.

Results
Crystal system: trigonal
M_tot, μB per atom: 0.00
DOS(E_F), states/eV per cell: 10.9
Symmetry: No. 166

a = 4.744 Å, b = 4.744 Å, c = 8.262 Å
α = 73.32°, β = 73.32°, γ = 60.00°
Element x y z (fractional)
Zr: 0.000 0.000 0.000
Ti: 0.860 0.860 0.420
Ti: 0.140 0.140 0.580
Ni: 0.666 0.666 0.002
Ni: 0.334 0.334 0.998
Ni: 0.500 0.500 0.500
Ni: 0.411 0.411 0.259
Ni: 0.919 0.411 0.259
Ni: 0.411 0.919 0.259
Ni: 0.589 0.589 0.741
Ni: 0.589 0.081 0.741
Ni: 0.081 0.589 0.741

Which of them is most stable, and which least? Most stable: w; least stable: x.

--- w ---
Crystalline ZrTi3Ni at its relaxed geometry, computed with GGA-PBE.

Results
Crystal system: cubic
M_tot, μB per atom: 0.00
DOS(E_F), states/eV per cell: 5.7
Symmetry: No. 221

a = 4.572 Å, b = 4.572 Å, c = 4.572 Å
α = 90.00°, β = 90.00°, γ = 90.00°
Element x y z (fractional)
Ni: 0.000 0.000 0.000
Zr: 0.500 0.500 0.500
Ti: 0.000 0.500 0.000
Ti: 0.000 0.000 0.500
Ti: 0.500 0.000 0.000

--- x ---
Crystalline ZrTi3Ni at its relaxed geometry, computed with GGA-PBE.

Results
Crystal system: cubic
M_tot, μB per atom: 0.27
DOS(E_F), states/eV per cell: 8.9
Symmetry: No. 221

a = 4.723 Å, b = 4.723 Å, c = 4.723 Å
α = 90.00°, β = 90.00°, γ = 90.00°
Element x y z (fractional)
Ni: 0.500 0.500 0.500
Zr: 0.000 0.000 0.000
Ti: 0.000 0.500 0.000
Ti: 0.000 0.000 0.500
Ti: 0.500 0.000 0.000

Which of them is most stable, and which least? Most stable: w; least stable: x.